Entry 1:
A plane-wave DFT calculation with PBE-GGA was carried out for a geometry-optimized Tb2Tl3PbS6 structure.

Computed properties:
symmetry	C2/m (12)
electronic total energy	-4.82	eV per atom
magnetic moment	0.000	Bohr magnetons per cell

Cell: 7.1606 7.1606 7.6257 Å, 98.79 98.79 120.08°
Element x y z (fractional)
1 Tb 0.3322 0.6678 0.0000
2 Tb 0.6678 0.3322 0.0000
3 Tl 0.1656 0.8344 0.5000
4 Tl 0.8344 0.1656 0.5000
5 Tl 0.5000 0.5000 0.5000
6 Pb 0.0000 0.0000 0.0000
7 S 0.9304 0.5775 0.7889
8 S 0.7156 0.7156 0.2074
9 S 0.0696 0.4225 0.2111
10 S 0.5775 0.9304 0.7889
11 S 0.2844 0.2844 0.7926
12 S 0.4225 0.0696 0.2111

---

Entry 2:
A plane-wave DFT calculation with PBE-GGA was carried out for a geometry-optimized TbTmPbS structure.

Computed properties:
symmetry	R3m (160)
electronic total energy	-5.43	eV per atom
magnetic moment	0.000	Bohr magnetons per cell

Cell: 3.7668 3.7659 8.4404 Å, 90.00 102.92 119.99°
Element x y z (fractional)
1 Tb 0.3395 0.5678 0.9217
2 Tm 0.9323 0.3642 0.3119
3 Pb 0.4676 0.1315 0.6151
4 S 0.1385 0.9673 0.1208

---

Entry 3:
A plane-wave DFT calculation with PBE-GGA was carried out for a geometry-optimized Tb2Tm2Pb2S structure.

Computed properties:
symmetry	I4/mmm (139)
electronic total energy	-4.96	eV per atom
magnetic moment	0.000	Bohr magnetons per cell

Cell: 5.0902 5.0902 8.7638 Å, 106.88 106.88 90.00°
Element x y z (fractional)
1 Tb 0.0000 0.5000 0.0000
2 Tb 0.5000 0.0000 0.0000
3 Tm 0.1665 0.1665 0.3330
4 Tm 0.8335 0.8335 0.6670
5 Pb 0.3598 0.3598 0.7196
6 Pb 0.6402 0.6402 0.2804
7 S 0.0000 0.0000 0.0000